Mn3B7IO13: relaxed, PBE with a Hubbard U.

Summary:
Energy above the lowest structure with this stoichiometry ... 0 meV per atom
E_tot ... -7.841 eV/atom
Mass density ... 3.92 g/cm3
Volume ... 974 Å³/cell

```
Mn3B7IO13
1.0
8.865 0.000 0.000
0.000 8.797 0.000
0.000 0.000 12.495
Mn B I O
12 28 4 52
Direct
0.000 0.019 0.000 Mn
0.000 0.981 0.500 Mn
0.001 0.481 0.004 Mn
0.242 0.252 0.268 Mn
0.258 0.252 0.768 Mn
0.499 0.481 0.504 Mn
0.500 0.019 0.500 Mn
0.500 0.981 0.000 Mn
0.501 0.519 0.004 Mn
0.742 0.748 0.268 Mn
0.758 0.748 0.768 Mn
0.999 0.519 0.504 Mn
0.001 0.503 0.256 B
0.002 0.997 0.254 B
0.051 0.750 0.156 B
0.094 0.750 0.683 B
0.242 0.903 0.834 B
0.243 0.599 0.835 B
0.243 0.753 0.007 B
0.257 0.599 0.335 B
0.257 0.753 0.507 B
0.258 0.903 0.334 B
0.406 0.750 0.183 B
0.449 0.750 0.656 B
0.498 0.997 0.754 B
0.499 0.503 0.756 B
0.501 0.497 0.256 B
0.502 0.003 0.254 B
0.551 0.250 0.156 B
0.594 0.250 0.683 B
0.742 0.097 0.834 B
0.743 0.247 0.007 B
0.743 0.401 0.835 B
0.757 0.247 0.507 B
0.757 0.401 0.335 B
0.758 0.097 0.334 B
0.906 0.250 0.183 B
0.949 0.250 0.656 B
0.998 0.003 0.754 B
0.999 0.497 0.756 B
0.249 0.251 0.004 I
0.251 0.251 0.504 I
0.749 0.749 0.004 I
0.751 0.749 0.504 I
0.030 0.159 0.229 O
0.033 0.333 0.729 O
0.038 0.907 0.155 O
0.044 0.593 0.665 O
0.089 0.537 0.850 O
0.098 0.945 0.344 O
0.121 0.677 0.072 O
0.142 0.817 0.581 O
0.159 0.024 0.780 O
0.164 0.487 0.278 O
0.178 0.875 0.941 O
0.188 0.638 0.437 O
0.225 0.750 0.767 O
0.275 0.750 0.267 O
0.312 0.638 0.937 O
0.322 0.875 0.441 O
0.336 0.487 0.778 O
0.341 0.024 0.280 O
0.358 0.817 0.081 O
0.379 0.677 0.572 O
0.402 0.945 0.844 O
0.411 0.537 0.350 O
0.456 0.593 0.165 O
0.462 0.907 0.655 O
0.467 0.333 0.229 O
0.470 0.159 0.729 O
0.530 0.841 0.229 O
0.533 0.667 0.729 O
0.538 0.093 0.155 O
0.544 0.407 0.665 O
0.589 0.463 0.850 O
0.598 0.055 0.344 O
0.621 0.323 0.072 O
0.642 0.183 0.581 O
0.659 0.976 0.780 O
0.664 0.513 0.278 O
0.678 0.125 0.941 O
0.688 0.362 0.437 O
0.725 0.250 0.767 O
0.775 0.250 0.267 O
0.812 0.362 0.937 O
0.822 0.125 0.441 O
0.836 0.513 0.778 O
0.841 0.976 0.280 O
0.858 0.183 0.081 O
0.879 0.323 0.572 O
0.902 0.055 0.844 O
0.911 0.463 0.350 O
0.956 0.407 0.165 O
0.962 0.093 0.655 O
0.967 0.667 0.229 O
0.970 0.841 0.729 O
```